HfTaHg2Pb | meta-GGA SCAN | PBEsol geometry

Lattice parameters (Å, degrees): 5.221 5.221 5.412 90.00 90.00 90.00
Site moments in Bohr magnetons follow the coordinates.
Sites, in units of the cell vectors:
Pb: 0.000 0.000 0.500  -0.08
Hf: 0.000 0.000 0.000  -0.13
Hg: 0.000 0.500 0.000  0.01
Hg: 0.500 0.000 0.000  0.01
Ta: 0.500 0.500 0.500  2.08

Output
Final energy = -66.8070 eV per atom
Crystal system = tetragonal
Energy of formation = 1.4669 eV per atom

=====

Mn2PtPb | meta-GGA SCAN | PBEsol geometry

Lattice parameters (Å, degrees): 3.914 3.918 5.077 112.70 112.67 90.00
Site moments in Bohr magnetons follow the coordinates.
Sites, in units of the cell vectors:
Mn: 0.000 0.000 0.000  3.87
Mn: 0.750 0.250 0.500  4.02
Pb: 0.500 0.500 0.000  -0.11
Pt: 0.250 0.750 0.500  0.21

Output
Final energy = -45.8064 eV per atom
Crystal system = tetragonal
Energy of formation = -0.1853 eV per atom

=====

Co2TcP | meta-GGA SCAN | PBEsol geometry

Lattice parameters (Å, degrees): 2.907 3.971 4.626 115.42 108.32 90.00
Site moments in Bohr magnetons follow the coordinates.
Sites, in units of the cell vectors:
Co: 0.004 0.004 0.007  1.33
Co: 0.786 0.286 0.572  0.24
P: 0.487 0.487 0.974  -0.03
Tc: 0.223 0.723 0.447  0.36

Output
Final energy = -20.0520 eV per atom
Crystal system = orthorhombic
Energy of formation = -0.0352 eV per atom

=====

IrRhW | meta-GGA SCAN | PBEsol geometry

Lattice parameters (Å, degrees): 2.730 2.730 6.697 90.00 90.00 120.00
Sites, in units of the cell vectors:
Ir: 0.000 0.000 0.006
Rh: 0.333 0.667 0.660
W: 0.667 0.333 0.334

Output
Final energy = -58.3128 eV per atom
Crystal system = trigonal
Energy of formation = -0.1266 eV per atom
Energy above the lowest structure with this stoichiometry = 0.37 eV per formula unit

=====

Si4MoAs | meta-GGA SCAN | PBEsol geometry

Lattice parameters (Å, degrees): 4.952 4.952 4.952 60.00 60.00 60.00
Sites, in units of the cell vectors:
As: 0.250 0.250 0.250
Mo: 0.000 0.000 0.000
Si: 0.624 0.624 0.127
Si: 0.127 0.624 0.624
Si: 0.624 0.127 0.624
Si: 0.624 0.624 0.624

Output
Final energy = -15.2311 eV per atom
Crystal system = cubic
Formation energy without anion corrections = 60.3 kJ per mole of atoms

=====

CrCuNi2 | meta-GGA SCAN | PBEsol geometry

Lattice parameters (Å, degrees): 2.471 3.471 5.006 90.00 90.00 90.00
Site moments in Bohr magnetons follow the coordinates.
Sites, in units of the cell vectors:
Ni: 0.000 0.000 0.755  0.23
Ni: 0.000 0.000 0.245  0.23
Cu: 0.500 0.500 0.500  0.03
Cr: 0.500 0.500 0.000  1.70

Output
Final energy = -16.4057 eV per atom
Crystal system = orthorhombic
Energy of formation = 0.0769 eV per atom

=====

FeCuOs2 | meta-GGA SCAN | PBEsol geometry

Lattice parameters (Å, degrees): 3.722 3.722 4.489 114.49 114.49 90.00
Site moments in Bohr magnetons follow the coordinates.
Sites, in units of the cell vectors:
Cu: 0.500 0.500 0.000  -0.02
Fe: 0.000 0.000 0.000  2.33
Os: 0.750 0.250 0.500  -0.16
Os: 0.250 0.750 0.500  -0.16

Output
Final energy = -43.9858 eV per atom
Crystal system = tetragonal
Energy of formation = 0.2864 eV per atom
Energy above the lowest structure with this stoichiometry = 0.48 eV per formula unit

=====

CaTaSi3 | meta-GGA SCAN | PBEsol geometry

Lattice parameters (Å, degrees): 4.831 4.831 4.831 90.00 90.00 90.00
Sites, in units of the cell vectors:
Ca: 0.500 0.500 0.500
Si: 0.000 0.500 0.000
Si: 0.000 0.000 0.500
Si: 0.500 0.000 0.000
Ta: 0.000 0.000 0.000

Output
Final energy = -21.1312 eV per atom
Crystal system = cubic
Formation energy without anion corrections = 12.3 kJ per mole of atoms

=====

CrCdPb2 | meta-GGA SCAN | PBEsol geometry

Lattice parameters (Å, degrees): 3.433 3.433 9.533 79.63 79.63 60.00
Site moments in Bohr magnetons follow the coordinates.
Sites, in units of the cell vectors:
Cd: 0.500 0.500 0.500  0.00
Cr: 0.000 0.000 0.000  3.89
Pb: 0.256 0.256 0.233  -0.02
Pb: 0.744 0.744 0.767  -0.02

Output
Final energy = -49.8590 eV per atom
Crystal system = trigonal
Energy of formation = 0.2314 eV per atom

=====

ReRhCl2 | meta-GGA SCAN | PBEsol geometry

Lattice parameters (Å, degrees): 2.890 4.615 5.901 97.25 104.17 90.00
Site moments in Bohr magnetons follow the coordinates.
Sites, in units of the cell vectors:
Re: 0.000 0.500 0.000  0.55
Rh: 0.500 0.000 0.000  0.15
Cl: 0.348 0.284 0.696  0.01
Cl: 0.652 0.716 0.304  0.01

Output
Final energy = -29.9228 eV per atom
Crystal system = monoclinic
Formation energy without anion corrections = 27.3 kJ per mole of atoms

=====

ZnAg2P | meta-GGA SCAN | PBEsol geometry

Lattice parameters (Å, degrees): 2.924 3.759 5.649 90.00 90.01 90.00
Sites, in units of the cell vectors:
Ag: 0.000 0.000 0.746
Ag: 0.000 0.000 0.254
P: 0.500 0.500 0.000
Zn: 0.500 0.500 0.500

Output
Final energy = -21.4433 eV per atom
Crystal system = orthorhombic
Energy of formation = 0.2187 eV per atom
Energy above the lowest structure with this stoichiometry = 0.15 eV per formula unit

=====

TaMnCu2 | meta-GGA SCAN | PBEsol geometry

Lattice parameters (Å, degrees): 3.697 3.697 4.588 113.75 113.75 90.00
Site moments in Bohr magnetons follow the coordinates.
Sites, in units of the cell vectors:
Cu: 0.000 0.000 0.000  -0.09
Cu: 0.250 0.750 0.500  -0.04
Mn: 0.500 0.500 0.000  2.74
Ta: 0.750 0.250 0.500  -0.64

Output
Final energy = -28.7181 eV per atom
Crystal system = tetragonal
Energy of formation = 0.0912 eV per atom
Energy above the lowest structure with this stoichiometry = 0.15 eV per formula unit